Entry 1:
VASP calculation (PBE with a Hubbard U) on crystalline NiPbAuO5 at its relaxed geometry.

The calculation puts the volume at 13.428 Å³/atom.

The space group is C2/c (No. 15) and the conventional cell measures 6.022, 9.341 and 7.745 Å, with angles of 90.00, 99.49 and 90.00 degrees. Symmetry generates all atoms from Ni at (0.000, 0.183, 0.250), Pb at (0.000, 0.500, 0.000), Au at (0.000, 0.142, 0.750), O at (0.000, 0.386, 0.250), O at (0.149, 0.026, 0.394) and O at (0.181, 0.303, 0.874).

Entry 2:
VASP calculation (PBE with a Hubbard U) on crystalline NiPdAuO5 at its relaxed geometry.

The calculation puts the volume at 11.627 Å³/atom.

The space group is C2/c (No. 15) and the conventional cell measures 5.772, 9.022 and 7.188 Å, with angles of 90.00, 96.30 and 90.00 degrees. Symmetry generates all atoms from Ni at (0.000, 0.180, 0.250), Pd at (0.000, 0.500, 0.000), Au at (0.000, 0.151, 0.750), O at (0.000, 0.390, 0.250), O at (0.158, 0.022, 0.400) and O at (0.171, 0.321, 0.883).

Entry 3:
VASP calculation (PBE with a Hubbard U) on crystalline Pm2NiAuO6 at its relaxed geometry.

The calculation puts the volume at 13.701 Å³/atom.

The space group is P4mm (No. 99) and the conventional cell measures 5.454, 5.454 and 4.606 Å, with angles of 90.00, 90.00 and 90.00 degrees. Symmetry generates all atoms from Pm at (0.000, 0.500, 0.000), Ni at (0.000, 0.000, 0.553), Au at (0.500, 0.500, 0.618), O at (0.000, 0.000, 0.129), O at (0.244, 0.244, 0.685) and O at (0.500, 0.500, 0.127).

Entry 4:
VASP calculation (PBE with a Hubbard U) on crystalline PuNiAuO6 at its relaxed geometry.

The calculation puts the volume at 12.366 Å³/atom.

The space group is P-31c (No. 163) and the conventional cell measures 5.2715, 5.2715 and 9.2497 Å, with angles of 90.00, 90.00 and 120.00 degrees. Symmetry generates all atoms from Pu at (0.3333, 0.6667, 0.2500), Ni at (0.3333, 0.6667, 0.7500), Au at (0.0000, 0.0000, 0.0000) and O at (0.0058, 0.3489, 0.1311).

Entry 5:
VASP calculation (PBE with a Hubbard U) on crystalline RbNi2Au2O6 at its relaxed geometry.

The calculation puts the volume at 20.481 Å³/atom.

The space group is P-1 (No. 2) and the conventional cell measures 4.644, 7.029 and 7.360 Å, with angles of 80.96, 72.90 and 81.16 degrees. Symmetry generates all atoms from Rb at (0.000, 0.000, 0.000), Ni at (0.260, 0.395, 0.352), Au at (0.313, 0.925, 0.383), O at (0.055, 0.629, 0.254), O at (0.116, 0.671, 0.433) and O at (0.494, 0.830, 0.709).

Entry 6:
VASP calculation (PBE with a Hubbard U) on crystalline ScNiAu2O6 at its relaxed geometry.

The calculation puts the volume at 12.981 Å³/atom.

The space group is C2/c (No. 15) and the conventional cell measures 12.488, 7.475 and 5.886 Å, with angles of 90.00, 109.08 and 90.00 degrees. Symmetry generates all atoms from Sc at (0.000, 0.124, 0.250), Ni at (0.000, 0.293, 0.750), Au at (0.245, 0.358, 0.241), O at (0.079, 0.306, 0.101), O at (0.087, 0.090, 0.636) and O at (0.188, 0.390, 0.734).

Entry 7:
VASP calculation (PBE with a Hubbard U) on crystalline SrNiAuO2 at its relaxed geometry.

The calculation puts the volume at 25.717 Å³/atom.

The space group is P4/mmm (No. 123) and the conventional cell measures 4.499, 4.499 and 6.353 Å, with angles of 90.00, 90.00 and 90.00 degrees. Symmetry generates all atoms from Sr at (0.000, 0.000, 0.000), Ni at (0.500, 0.500, 0.500), Au at (0.000, 0.000, 0.500) and O at (0.000, 0.500, 0.000).

Entry 8:
VASP calculation (PBE with a Hubbard U) on crystalline Sr3NiAu2O6 at its relaxed geometry.

The calculation puts the volume at 15.246 Å³/atom.

The space group is P-3m1 (No. 164) and the conventional cell measures 5.7102, 5.7102 and 6.4791 Å, with angles of 90.00, 90.00 and 120.00 degrees. Symmetry generates all atoms from Sr at (0.0000, 0.0000, 0.0000), Sr at (0.3333, 0.6667, 0.6153), Ni at (0.0000, 0.0000, 0.5000), Au at (0.3333, 0.6667, 0.1066) and O at (0.1613, 0.3227, 0.3181).

Entry 9:
VASP calculation (PBE with a Hubbard U) on crystalline TlNiAu2O6 at its relaxed geometry.

The calculation puts the volume at 12.965 Å³/atom.

The space group is C2/c (No. 15) and the conventional cell measures 12.345, 7.159 and 6.140 Å, with angles of 90.00, 107.14 and 90.00 degrees. Symmetry generates all atoms from Tl at (0.000, 0.134, 0.250), Ni at (0.000, 0.391, 0.750), Au at (0.249, 0.139, 0.762), O at (0.079, 0.173, 0.651), O at (0.083, 0.405, 0.119) and O at (0.203, 0.114, 0.330).

Entry 10:
VASP calculation (PBE with a Hubbard U) on crystalline TlNiAuO4 at its relaxed geometry.

The calculation puts the volume at 13.011 Å³/atom.

The space group is Cmcm (No. 63) and the conventional cell measures 5.523, 10.374 and 6.359 Å, with angles of 90.00, 90.00 and 90.00 degrees. Symmetry generates all atoms from Tl at (0.000, 0.177, 0.250), Ni at (0.000, 0.500, 0.000), Au at (0.000, 0.152, 0.750), O at (0.000, 0.307, 0.523) and O at (0.249, 0.498, 0.750).

Entry 11:
VASP calculation (PBE with a Hubbard U) on crystalline ZnNiAu2O6 at its relaxed geometry.

The calculation puts the volume at 12.246 Å³/atom.

The space group is C2/c (No. 15) and the conventional cell measures 10.113, 9.700 and 4.993 Å, with angles of 90.00, 90.03 and 90.00 degrees. Symmetry generates all atoms from Zn at (0.000, 0.107, 0.250), Ni at (0.000, 0.403, 0.750), Au at (0.249, 0.353, 0.233), O at (0.107, 0.445, 0.432), O at (0.112, 0.057, 0.559) and O at (0.112, 0.254, 0.990).

Summary of DFT total energy in eV for the cell shown
-149.09, -147.99, -62.09, -121.87, -45.07, -220.12, -16.25, -59.11, -179.46, -119.34, -175.25
(order as listed above)